Record 1
Here is a geometry-optimized VCd2InHg structure from Alexandria via LeMat-Bulk. Energies are from PBE-GGA.

Values from the calculation:
- Spin magnetization: 4.55 μB/cell
- Space-group type: No. 123
- DFT formation energy: 0.5909 eV/atom

Cell lengths 5.429, 5.413, 5.429 Å; angles 90.00, 90.00, 90.00 degrees
Site moments in Bohr magnetons follow the coordinates.
Fractional positions:
V1 0.000 0.000 0.000  2.93
Cd1 0.000 0.000 0.500  0.06
Cd2 0.500 0.000 0.000  0.10
Hg1 0.500 0.500 0.500  0.06
In1 0.000 0.500 0.000  0.17

---

Record 2
Here is a geometry-optimized PaTe2Rh structure from Alexandria via LeMat-Bulk. Energies are from PBE-GGA.

Values from the calculation:
- Spin magnetization: 0.00 μB/cell
- Space-group type: No. 166
- E above lowest polymorph: 842 meV per atom
- Uncorrected formation energy: 0.0356 eV per atom

Cell lengths 3.394, 3.394, 10.161 Å; angles 80.38, 80.38, 60.00 degrees
Fractional positions:
Rh1 0.000 0.000 0.000
Pa1 0.500 0.500 0.500
Te1 0.085 0.085 0.746
Te2 0.915 0.915 0.254

---

Record 3
Here is a geometry-optimized LaGd2Pu structure from Alexandria via LeMat-Bulk. Energies are from PBE-GGA.

Values from the calculation:
- Spin magnetization: 21.27 μB/cell
- Space-group type: No. 123
- E above lowest polymorph: 0 meV per atom
- DFT formation energy: 0.1123 eV/atom

Cell lengths 3.581, 3.581, 10.162 Å; angles 90.00, 90.00, 90.00 degrees
Site moments in Bohr magnetons follow the coordinates.
Fractional positions:
Gd1 0.000 0.000 0.263  7.25
Gd2 0.000 0.000 0.737  7.25
La1 0.500 0.500 0.000  -0.01
Pu1 0.500 0.500 0.500  5.64

---

Record 4
Here is a geometry-optimized RbMnTl structure from Alexandria via LeMat-Bulk. Energies are from PBE-GGA.

Values from the calculation:
- Spin magnetization: 8.17 μB/cell
- Space-group type: No. 12
- E above lowest polymorph: 117 meV per atom
- DFT formation energy: 0.4849 eV/atom

Cell lengths 6.628, 4.161, 15.477 Å; angles 90.00, 107.64, 90.00 degrees
Site moments in Bohr magnetons follow the coordinates.
Fractional positions:
Tl1 0.116 0.000 0.408  -0.07
Tl2 0.884 0.000 0.592  -0.07
Tl3 0.116 0.500 0.908  -0.07
Tl4 0.884 0.500 0.092  -0.07
Mn1 0.027 0.000 0.775  2.17
Mn2 0.973 0.000 0.225  2.17
Mn3 0.027 0.500 0.275  2.17
Mn4 0.973 0.500 0.725  2.17
Rb1 0.395 0.000 0.121  -0.01
Rb2 0.605 0.000 0.879  -0.01
Rb3 0.395 0.500 0.621  -0.01
Rb4 0.605 0.500 0.379  -0.01

---

Record 5
Here is a geometry-optimized TmPa2As structure from Alexandria via LeMat-Bulk. Energies are from PBE-GGA.

Values from the calculation:
- Spin magnetization: 0.00 μB/cell
- Space-group type: No. 166
- DFT formation energy: 0.0336 eV/atom

Cell lengths 3.404, 3.404, 10.677 Å; angles 80.83, 80.83, 60.00 degrees
Fractional positions:
As1 0.500 0.500 0.500
Pa1 0.101 0.101 0.698
Pa2 0.899 0.899 0.302
Tm1 0.000 0.000 0.000

---

Record 6
Here is a geometry-optimized Cu2HgRuC structure from Alexandria via LeMat-Bulk. Energies are from PBE-GGA.

Values from the calculation:
- Spin magnetization: 0.41 μB/cell
- Space-group type: No. 123
- DFT formation energy: 2.4467 eV/atom

Cell lengths 4.591, 5.163, 4.591 Å; angles 90.00, 90.00, 90.00 degrees
Site moments in Bohr magnetons follow the coordinates.
Fractional positions:
Ru1 0.000 0.000 0.000  0.38
C1 0.500 0.500 0.500  -0.04
Hg1 0.000 0.500 0.000  0.01
Cu1 0.000 0.000 0.500  0.07
Cu2 0.500 0.000 0.000  0.02

---

Record 7
Here is a geometry-optimized PuSnS3 structure from Alexandria via LeMat-Bulk. Energies are from PBE-GGA.

Values from the calculation:
- Spin magnetization: 9.62 μB/cell
- Space-group type: No. 74
- Uncorrected formation energy: -0.8117 eV per atom

Cell lengths 5.206, 8.454, 7.356 Å; angles 125.07, 110.73, 90.00 degrees
Site moments in Bohr magnetons follow the coordinates.
Fractional positions:
Pu1 0.000 0.500 0.000  -4.98
Pu2 0.500 0.000 0.000  -4.98
Sn1 0.250 0.246 0.500  -0.04
Sn2 0.750 0.754 0.500  -0.04
S1 0.057 0.221 0.114  0.12
S2 0.443 0.607 0.886  0.12
S3 0.557 0.393 0.114  0.12
S4 0.943 0.779 0.886  0.12
S5 0.250 0.832 0.500  0.04
S6 0.750 0.168 0.500  0.04

---

Record 8
Here is a geometry-optimized Mg6Cd3Ir structure from Alexandria via LeMat-Bulk. Energies are from PBE-GGA.

Values from the calculation:
- Spin magnetization: 0.00 μB/cell
- Space-group type: No. 12
- E above lowest polymorph: 123 meV per atom
- DFT formation energy: -0.0489 eV/atom

Cell lengths 7.495, 5.866, 5.866 Å; angles 59.31, 73.79, 73.79 degrees
Fractional positions:
Mg1 0.319 0.115 0.602
Mg2 0.681 0.398 0.885
Mg3 0.681 0.885 0.398
Mg4 0.319 0.602 0.115
Mg5 0.119 0.656 0.656
Mg6 0.881 0.344 0.344
Cd1 0.316 0.113 0.113
Cd2 0.684 0.887 0.887
Cd3 0.000 0.000 0.000
Ir1 0.500 0.500 0.500

---

Record 9
Here is a geometry-optimized BaFe2Pb structure from Alexandria via LeMat-Bulk. Energies are from PBE-GGA.

Values from the calculation:
- Spin magnetization: 6.21 μB/cell
- Space-group type: No. 216
- E above lowest polymorph: 574 meV per atom
- DFT formation energy: 0.8033 eV/atom

Cell lengths 5.193, 5.193, 5.193 Å; angles 120.05, 120.05, 89.91 degrees
Site moments in Bohr magnetons follow the coordinates.
Fractional positions:
Ba1 0.750 0.250 0.500  0.00
Fe1 0.000 0.000 0.000  3.03
Fe2 0.250 0.750 0.500  3.07
Pb1 0.500 0.500 0.000  -0.01

---

Record 10
Here is a geometry-optimized Cd6NiAg2 structure from Alexandria via LeMat-Bulk. Energies are from PBE-GGA.

Values from the calculation:
- Spin magnetization: 0.00 μB/cell
- Space-group type: No. 15
- E above lowest polymorph: 0 meV per atom
- DFT formation energy: 0.0119 eV/atom

Cell lengths 5.245, 10.478, 10.478 Å; angles 68.02, 126.62, 126.62 degrees
Fractional positions:
Cd1 0.357 0.806 0.450
Cd2 0.143 0.550 0.194
Cd3 0.643 0.194 0.550
Cd4 0.857 0.450 0.806
Cd5 0.735 0.911 0.274
Cd6 0.765 0.726 0.089
Cd7 0.265 0.089 0.726
Cd8 0.235 0.274 0.911
Cd9 0.052 0.750 0.882
Cd10 0.448 0.118 0.250
Cd11 0.948 0.250 0.118
Cd12 0.552 0.882 0.750
Ni1 0.250 0.000 0.000
Ni2 0.750 0.000 0.000
Ag1 0.286 0.530 0.668
Ag2 0.214 0.332 0.470
Ag3 0.714 0.470 0.332
Ag4 0.786 0.668 0.530

---

Record 11
Here is a geometry-optimized Ac2AlAg4Sn2 structure from Alexandria via LeMat-Bulk. Energies are from PBE-GGA.

Values from the calculation:
- Spin magnetization: 0.00 μB/cell
- Space-group type: No. 139
- DFT formation energy: -0.3308 eV/atom

Cell lengths 6.967, 6.967, 6.967 Å; angles 87.10, 121.69, 121.69 degrees
Fractional positions:
Ac1 0.500 0.750 0.250
Ac2 0.500 0.250 0.750
Al1 0.000 0.000 0.000
Ag1 0.000 0.729 0.271
Ag2 0.459 0.729 0.729
Ag3 0.000 0.271 0.729
Ag4 0.541 0.271 0.271
Sn1 0.000 0.690 0.690
Sn2 0.000 0.310 0.310

---

Record 12
Here is a geometry-optimized Sr3Bi2I structure from Alexandria via LeMat-Bulk. Energies are from PBE-GGA.

Values from the calculation:
- Spin magnetization: 1.66 μB/cell
- Space-group type: No. 63
- Uncorrected formation energy: -0.7490 eV per atom

Cell lengths 5.177, 8.781, 11.192 Å; angles 90.00, 90.00, 107.15 degrees
Fractional positions:
Sr1 0.631 0.262 0.042
Sr2 0.130 0.260 0.750
Sr3 0.631 0.262 0.458
Sr4 0.870 0.740 0.250
Sr5 0.369 0.738 0.958
Sr6 0.369 0.738 0.542
Bi1 0.000 0.000 0.000
Bi2 0.000 0.000 0.500
Bi3 0.490 0.981 0.250
Bi4 0.510 0.019 0.750
I1 0.226 0.453 0.250
I2 0.774 0.547 0.750

---

Record 13
Here is a geometry-optimized Ac3Ga4Ir3 structure from Alexandria via LeMat-Bulk. Energies are from PBE-GGA.

Values from the calculation:
- Spin magnetization: 0.00 μB/cell
- Space-group type: No. 220
- DFT formation energy: -0.5666 eV/atom

Cell lengths 8.588, 8.588, 8.588 Å; angles 109.47, 109.47, 109.47 degrees
Fractional positions:
Ac1 0.625 0.750 0.875
Ac2 0.875 0.250 0.625
Ac3 0.125 0.375 0.250
Ac4 0.375 0.125 0.750
Ac5 0.250 0.875 0.125
Ac6 0.750 0.625 0.375
Ga1 0.000 0.000 0.354
Ga2 0.500 0.354 0.500
Ga3 0.646 0.146 0.146
Ga4 0.000 0.000 0.854
Ga5 0.854 0.500 0.000
Ga6 0.500 0.854 0.500
Ga7 0.354 0.500 0.000
Ga8 0.146 0.646 0.646
Ir1 0.125 0.750 0.375
Ir2 0.375 0.250 0.125
Ir3 0.625 0.875 0.250
Ir4 0.875 0.625 0.750
Ir5 0.250 0.375 0.625
Ir6 0.750 0.125 0.875